Computed, not measured: crystalline La4PmOs2 at its relaxed geometry at the GGA-PBE level of DFT.

Cell and atoms, written as POSCAR:
```
La4PmOs2
1.0
8.025 0.000 0.000
0.000 6.766 0.000
-2.991 0.000 7.473
La Pm Os
8 2 4
direct
0.027 0.250 0.377
0.241 0.750 0.316
0.418 0.001 0.761
0.418 0.499 0.761
0.582 0.501 0.239
0.582 0.999 0.239
0.759 0.250 0.684
0.973 0.750 0.623
0.155 0.250 0.025
0.845 0.750 0.975
0.245 0.750 0.983
0.369 0.250 0.406
0.631 0.750 0.594
0.755 0.250 0.017
```

**M_tot**: 0.00 μB/f.u.
**Calculated total energy**: -94.61 eV/cell
**ΔH_f (0 K)**: -0.05 eV/atom
**Symmetry**: P2_1/m

Computed, not measured: crystalline La2Pm2Os at its relaxed geometry at the GGA-PBE level of DFT.

Cell and atoms, written as POSCAR:
```
La2Pm2Os
1.0
-2.501 2.501 12.899
2.501 -2.501 12.899
2.501 2.501 -12.899
La Pm Os
4 4 2
direct
0.063 0.313 0.750
0.313 0.063 0.250
0.687 0.937 0.750
0.937 0.687 0.250
0.194 0.444 0.750
0.444 0.194 0.250
0.556 0.806 0.750
0.806 0.556 0.250
0.375 0.625 0.750
0.625 0.375 0.250
```

**M_tot**: 0.00 μB/f.u.
**Calculated total energy**: -61.01 eV/cell
**ΔH_f (0 K)**: 0.02 eV/atom
**Symmetry**: I4_1/amd

Computed, not measured: crystalline La3PmOs at its relaxed geometry at the GGA-PBE level of DFT.

Cell and atoms, written as POSCAR:
```
La3PmOs
1.0
6.253 -1.992 0.000
6.253 1.992 0.000
-5.759 0.000 12.837
La Pm Os
6 2 2
direct
0.000 0.000 0.000
0.011 0.011 0.374
0.215 0.215 0.861
0.319 0.319 0.136
0.652 0.652 0.237
0.667 0.667 0.609
0.348 0.348 0.482
0.454 0.454 0.751
0.015 0.015 0.629
0.651 0.651 0.978
```

**M_tot**: 0.00 μB/f.u.
**Calculated total energy**: -62.43 eV/cell
**ΔH_f (0 K)**: -0.09 eV/atom
**Symmetry**: Cm